First-principles (GGA+U) data for a relaxed structure of TmVAs2O8, as listed in Alexandria.

Cell and atoms, written as extended XYZ:
```
12
Lattice="-3.467 3.467 3.095 3.467 -3.467 3.095 3.467 3.467 -3.095" Properties=species:S:1:pos:R:3 pbc="T T T"
Tm 0.000 0.000 0.000
V 0.000 3.467 1.547
As 3.467 0.000 1.547
As 0.000 0.000 3.095
O 2.213 0.000 0.375
O 4.721 0.000 0.375
O 3.467 2.160 -1.123
O 3.467 -1.254 2.720
O 0.000 1.307 1.972
O 3.467 1.254 2.720
O 2.160 3.467 1.123
O 1.307 0.000 4.218
```

Properties
E_tot: -83.5 eV/cell
total magnetic moment: 2.00 μB per cell